# 1
The following is a PBE-GGA calculation of an optimized crystal structure of NdNbPO, from OQMD.

- space-group type = Pmc2_1
- relative energy among the computed polymorphs (meV/atom) = 399
- crystal system = orthorhombic
- DFT total energy (eV/cell) = -62.624

Cell and atoms, written as POSCAR:
```
NdNbPO
1.0
3.883 0.000 0.000
0.000 5.953 0.000
0.000 0.000 6.634
Nd Nb P O
2 2 2 2
Cartesian
0.000 1.406 0.000 Nd
0.000 4.546 3.317 Nd
1.942 1.687 2.701 Nb
1.942 4.266 6.018 Nb
1.942 0.344 4.686 P
1.942 5.609 1.369 P
0.000 2.343 2.381 O
0.000 3.610 5.698 O
```

***

# 2
The following is a PBE-GGA calculation of an optimized crystal structure of RbNdNb2O7, from OQMD.

- space-group type = Ima2
- relative energy among the computed polymorphs (meV/atom) = 0
- crystal system = orthorhombic
- DFT total energy (eV/cell) = -181.379

Cell and atoms, written as POSCAR:
```
RbNdNb2O7
1.0
-10.923 2.721 2.723
10.923 -2.721 2.723
10.923 2.721 -2.723
Rb Nd Nb O
2 2 4 14
Cartesian
0.000 0.000 0.000 Rb
10.923 0.000 0.000 Rb
5.462 2.710 2.562 Nd
-5.462 2.732 2.562 Nd
3.160 -0.006 2.779 Nb
7.763 -0.006 2.779 Nb
3.160 2.727 0.056 Nb
7.763 2.727 0.056 Nb
14.174 1.006 -0.897 O
7.673 -1.714 1.826 O
7.080 1.566 -1.440 O
14.767 -1.155 1.283 O
1.403 2.401 -0.016 O
9.520 2.401 -0.016 O
3.844 1.155 1.283 O
7.080 1.155 1.283 O
5.462 -0.432 2.931 O
1.403 0.319 2.707 O
9.520 0.319 2.707 O
5.462 3.153 0.208 O
-3.251 1.714 1.826 O
14.174 1.714 1.826 O
```

***

# 3
The following is a PBE-GGA calculation of an optimized crystal structure of RbNdNb2O7, from OQMD.

- space-group type = Cmce
- relative energy among the computed polymorphs (meV/atom) = 7
- crystal system = orthorhombic
- DFT total energy (eV/cell) = -362.451

Cell and atoms, written as POSCAR:
```
RbNdNb2O7
1.0
3.835 -3.868 0.000
3.835 3.868 0.000
0.000 0.000 21.877
Rb Nd Nb O
4 4 8 28
Cartesian
3.835 2.042 16.468 Rb
3.835 1.826 5.530 Rb
3.835 -1.826 16.347 Rb
3.835 -2.042 5.409 Rb
3.835 2.013 21.848 Nd
3.835 1.855 10.910 Nd
3.835 -1.855 10.967 Nd
3.835 -2.013 0.029 Nd
1.913 0.015 8.641 Nb
1.921 0.015 2.298 Nb
1.913 -0.015 13.236 Nb
1.921 -0.015 19.579 Nb
5.748 0.015 2.298 Nb
5.756 0.015 8.641 Nb
5.748 -0.015 19.579 Nb
5.756 -0.015 13.236 Nb
3.835 3.678 9.347 O
2.271 1.981 1.860 O
2.271 1.886 12.798 O
3.835 3.315 19.604 O
1.511 0.000 0.000 O
1.649 0.075 15.004 O
1.649 -0.075 6.872 O
2.186 0.075 17.811 O
2.186 -0.075 4.066 O
2.324 0.000 10.938 O
3.835 0.553 8.666 O
5.398 1.981 1.860 O
5.398 1.886 12.798 O
3.835 0.190 20.285 O
3.835 -0.190 1.591 O
2.271 -1.886 9.078 O
2.271 -1.981 20.017 O
3.835 -0.553 13.211 O
5.345 0.000 10.938 O
5.483 0.075 17.811 O
5.483 -0.075 4.066 O
6.020 0.075 15.004 O
6.020 -0.075 6.872 O
6.158 0.000 0.000 O
3.835 -3.315 2.272 O
5.398 -1.886 9.078 O
5.398 -1.981 20.017 O
3.835 -3.678 12.530 O
```

***

# 4
The following is a PBE-GGA calculation of an optimized crystal structure of NdSm2NbO6, from OQMD.

- space-group type = P-1
- crystal system = triclinic
- DFT total energy (eV/cell) = -82.729

Cell and atoms, written as POSCAR:
```
NdSm2NbO6
1.0
5.711 0.000 0.000
2.617 5.189 0.000
2.628 1.603 4.948
Nd Sm Nb O
1 2 1 6
Cartesian
0.000 0.000 0.000 Nd
3.008 1.721 1.256 Sm
7.949 5.071 3.692 Sm
5.478 3.396 2.474 Nb
4.515 4.940 3.597 O
4.215 1.912 3.304 O
4.214 3.730 0.801 O
6.742 3.062 4.147 O
6.742 4.880 1.644 O
6.442 1.851 1.351 O
```

***

# 5
The following is a PBE-GGA calculation of an optimized crystal structure of NdNbOs, from OQMD.

- space-group type = F-43m
- relative energy among the computed polymorphs (meV/atom) = 871
- crystal system = cubic
- formation energy (eV per atom) = 1.5107
- DFT total energy (eV/cell) = -21.550

Cell and atoms, written as POSCAR:
```
NdNbOs
1.0
0.000 3.241 3.241
3.241 0.000 3.241
3.241 3.241 0.000
Nd Nb Os
1 1 1
Cartesian
0.000 0.000 0.000 Nd
4.862 4.862 4.862 Nb
1.621 1.621 1.621 Os
```

***

# 6
The following is a PBE-GGA calculation of an optimized crystal structure of NdNb2Os2, from OQMD.

- space-group type = I4/mmm
- crystal system = tetragonal
- formation energy (eV per atom) = -0.2175
- DFT total energy (eV/cell) = -48.490

Cell and atoms, written as POSCAR:
```
NdNb2Os2
1.0
-2.215 2.215 5.353
2.215 -2.215 5.353
2.215 2.215 -5.353
Nd Nb Os
1 2 2
Cartesian
0.000 0.000 0.000 Nd
2.215 0.000 2.676 Nb
0.000 2.215 2.676 Nb
0.000 0.000 4.073 Os
0.000 0.000 6.632 Os
```

***

Question: Which of these has the lowest DFT total energy?
Answer: number 3

***

Question: What is the DFT total energy in the third record?
Answer: -362.451 eV/cell